Entry 1:
## Ce2Te (PBE)

Data for crystalline Ce2Te at its relaxed geometry.

a = 4.4684 Å, b = 4.3159 Å, c = 8.9683 Å
α = 90.00°, β = 92.01°, γ = 90.00°
Sites, in units of the cell vectors:
1 Ce 0.1989 0.2500 0.0108
2 Ce 0.2466 0.7500 0.3589
3 Ce 0.7534 0.2500 0.6411
4 Ce 0.8011 0.7500 0.9892
5 Te 0.2592 0.7500 0.7192
6 Te 0.7408 0.2500 0.2808

Results
For the uncorrected formation energy, the calculation gives -0.839 eV per atom. As for the total magnetization: 3.3 Bohr magnetons per cell. The uncorrected energy comes out at -35.05 eV/cell. The calculated volume comes out at 28.81 Å³/atom.

Entry 2:
## Cr4CoTc (PBE)

Data for crystalline Cr4CoTc at its relaxed geometry.

a = 4.6822 Å, b = 4.6822 Å, c = 4.6822 Å
α = 60.00°, β = 60.00°, γ = 60.00°
Sites, in units of the cell vectors:
1 Cr 0.1248 0.1248 0.1248
2 Cr 0.1248 0.1248 0.6256
3 Cr 0.1248 0.6256 0.1248
4 Cr 0.6256 0.1248 0.1248
5 Co 0.5000 0.5000 0.5000
6 Tc 0.7500 0.7500 0.7500

Results
As for the total magnetization: 0.1 Bohr magnetons per cell. The uncorrected energy comes out at -55.18 eV/cell. As for the formation enthalpy at 0 K: 131 meV per atom. The calculated volume comes out at 12.10 Å³/atom.

Entry 3:
## Rb4Ho3TiSe8 (PBE)

Data for crystalline Rb4Ho3TiSe8 at its relaxed geometry.

a = 9.3008 Å, b = 9.3008 Å, c = 9.3008 Å
α = 52.98°, β = 52.98°, γ = 52.98°
Sites, in units of the cell vectors:
1 Rb 0.0000 0.0000 0.0000
2 Rb 0.0000 0.5000 0.5000
3 Rb 0.5000 0.0000 0.5000
4 Rb 0.5000 0.5000 0.0000
5 Ho 0.0000 0.0000 0.5000
6 Ho 0.0000 0.5000 0.0000
7 Ho 0.5000 0.0000 0.0000
8 Ti 0.5000 0.5000 0.5000
9 Se 0.2323 0.2323 0.2323
10 Se 0.2460 0.7216 0.7216
11 Se 0.2784 0.2784 0.7540
12 Se 0.2784 0.7540 0.2784
13 Se 0.7216 0.2460 0.7216
14 Se 0.7216 0.7216 0.2460
15 Se 0.7540 0.2784 0.2784
16 Se 0.7677 0.7677 0.7677

Results
For the uncorrected formation energy, the calculation gives -1.561 eV per atom. As for the total magnetization: 1.0 Bohr magnetons per cell. The uncorrected energy comes out at -78.35 eV/cell. The calculated volume comes out at 29.71 Å³/atom.

Entry 4:
## Hf2InGaOs (PBE)

Data for crystalline Hf2InGaOs at its relaxed geometry.

a = 5.1565 Å, b = 5.1565 Å, c = 4.8306 Å
α = 90.00°, β = 90.00°, γ = 90.00°
Sites, in units of the cell vectors:
1 Hf 0.0000 0.5000 0.0000
2 Hf 0.5000 0.0000 0.0000
3 In 0.0000 0.0000 0.0000
4 Ga 0.5000 0.5000 0.5000
5 Os 0.0000 0.0000 0.5000

Results
As for the total magnetization: 0.0 Bohr magnetons per cell. The uncorrected energy comes out at -29.08 eV/cell. As for the formation enthalpy at 0 K: 1565 meV per atom. The calculated volume comes out at 25.69 Å³/atom.

Entry 5:
## KZrIn (PBE)

Data for crystalline KZrIn at its relaxed geometry.

a = 5.3473 Å, b = 13.8282 Å, c = 5.5014 Å
α = 90.00°, β = 90.00°, γ = 90.00°
Sites, in units of the cell vectors:
1 K 0.0000 0.2217 0.2500
2 K 0.0000 0.7783 0.7500
3 K 0.5000 0.2783 0.7500
4 K 0.5000 0.7217 0.2500
5 Zr 0.0000 0.5000 0.0000
6 Zr 0.0000 0.5000 0.5000
7 Zr 0.5000 0.0000 0.0000
8 Zr 0.5000 0.0000 0.5000
9 In 0.0000 0.0529 0.7500
10 In 0.0000 0.9471 0.2500
11 In 0.5000 0.4471 0.2500
12 In 0.5000 0.5529 0.7500

Results
As for the total magnetization: 0.0 Bohr magnetons per cell. The uncorrected energy comes out at -47.13 eV/cell. The offset from the most stable computed form comes out at 0.76 eV/f.u. As for the formation enthalpy at 0 K: 200 meV per atom. The calculated volume comes out at 33.90 Å³/atom.

Entry 6:
## ReHgN2O (PBE)

Data for crystalline ReHgN2O at its relaxed geometry.

a = 4.2077 Å, b = 4.2077 Å, c = 4.0692 Å
α = 90.00°, β = 90.00°, γ = 90.00°
Sites, in units of the cell vectors:
1 Re 0.0000 0.0000 0.0000
2 Hg 0.5000 0.5000 0.5000
3 N 0.0000 0.5000 0.5000
4 N 0.5000 0.0000 0.5000
5 O 0.5000 0.5000 0.0000

Results
For the uncorrected formation energy, the calculation gives 2.554 eV per atom. As for the total magnetization: 2.9 Bohr magnetons per cell. The uncorrected energy comes out at -21.59 eV/cell. The calculated volume comes out at 14.41 Å³/atom.

Entry 7:
## ScBi2Pb (PBE)

Data for crystalline ScBi2Pb at its relaxed geometry.

a = 4.3930 Å, b = 4.3930 Å, c = 22.7350 Å
α = 90.00°, β = 90.00°, γ = 120.00°
Sites, in units of the cell vectors:
1 Sc 0.0000 0.0000 0.0000
2 Sc 0.3333 0.6667 0.6667
3 Sc 0.6667 0.3333 0.3333
4 Bi 0.0000 0.0000 0.2607
5 Bi 0.0000 0.0000 0.7393
6 Bi 0.3333 0.6667 0.4060
7 Bi 0.3333 0.6667 0.9274
8 Bi 0.6667 0.3333 0.0726
9 Bi 0.6667 0.3333 0.5940
10 Pb 0.0000 0.0000 0.5000
11 Pb 0.3333 0.6667 0.1667
12 Pb 0.6667 0.3333 0.8333

Results
As for the total magnetization: 0.0 Bohr magnetons per cell. The uncorrected energy comes out at -55.92 eV/cell. As for the formation enthalpy at 0 K: -209 meV per atom. The calculated volume comes out at 31.66 Å³/atom.